Record 1
VASP calculation (PBE) on YTc2TeBr after structural relaxation.

SG: P4/mmm, No. 123

abc: 4.9172 4.9172 5.8861
angles: 90.00 90.00 90.00
With the nearest neighbours (Å) after each atom.
Atoms (fractional coordinates):
Y 0.0000 0.0000 0.0000  2 Te 2.94
Tc 0.0000 0.5000 0.5000  2 Te 2.46
Tc 0.5000 0.0000 0.5000  2 Te 2.46
Te 0.0000 0.0000 0.5000  4 Tc 2.46
Br 0.5000 0.5000 0.0000  4 Y 3.48, 8 Tc 3.83


Record 2
VASP calculation (PBE) on ZnTcTe2Br after structural relaxation.

SG: P4/mmm, No. 123

abc: 5.1148 5.1148 5.1169
angles: 90.00 90.00 90.00
With the nearest neighbours (Å) after each atom.
Atoms (fractional coordinates):
Zn 0.0000 0.0000 0.0000  2 Tc 2.56
Tc 0.0000 0.0000 0.5000  4 Te 2.56, 2 Zn 2.56
Te 0.0000 0.5000 0.5000  2 Tc 2.56
Te 0.5000 0.0000 0.5000  2 Tc 2.56
Br 0.5000 0.5000 0.0000  4 Zn 3.62, 8 Te 3.62


Record 3
VASP calculation (PBE) on Th2TcBr after structural relaxation.

energy relative to the lowest polymorph listed for this composition: 83 meV per atom
SG: P4/mmm, No. 123

abc: 3.4443 3.4443 8.5143
angles: 90.00 90.00 90.00
With the nearest neighbours (Å) after each atom.
Atoms (fractional coordinates):
Th 0.0000 0.0000 0.2132  4 Tc 3.04
Th 0.0000 0.0000 0.7868  4 Tc 3.04
Tc 0.5000 0.5000 0.0000  8 Th 3.04
Br 0.5000 0.5000 0.5000  4 Br 3.44, 8 Th 3.45


| no. | uncorrected energy (eV/atom) | total magnetic moment (μB/cell) | E_form (uncorrected) (eV/atom) |
| --- | --- | --- | --- |
| 1 | -5.444 | 3.360 | 0.958 |
| 2 | -3.725 | 0.000 | 0.194 |
| 3 | -7.270 | 0.000 | -0.550 |